DFT (PBE-GGA) results for a relaxed NbCr2HgH crystal.

Unit cell a=5.119 b=5.360 c=5.119 alpha=90.00 beta=90.00 gamma=90.00
Last column: magnetic moment on the atom in μB.
Fractional positions:
Nb: 0.000 0.500 0.000  -2.38
Cr: 0.000 0.000 0.500  4.08
Cr: 0.500 0.000 0.000  3.83
H: 0.500 0.500 0.500  0.16
Hg: 0.000 0.000 0.000  0.00

Computed properties:
The crystal system is tetragonal. The value obtained for the spin magnetization is 6.3 Bohr magnetons per cell. Its energy is -4.499 eV per atom.


DFT (PBE-GGA) results for a relaxed Y2MnRh crystal.

Unit cell a=7.705 b=7.705 c=6.280 alpha=52.16 beta=52.16 gamma=90.00
Last column: magnetic moment on the atom in μB.
Fractional positions:
Y: 0.875 0.907 0.750  -0.22
Y: 0.375 0.343 0.750  -0.22
Y: 0.657 0.125 0.250  -0.21
Y: 0.093 0.625 0.250  -0.21
Rh: 0.750 0.250 0.500  0.03
Rh: 0.000 0.000 0.000  0.03
Mn: 0.250 0.750 0.500  3.66
Mn: 0.500 0.500 0.000  3.65

Computed properties:
The crystal system is tetragonal. The value obtained for the spin magnetization is 6.3 Bohr magnetons per cell. Its energy is -7.298 eV per atom.


DFT (PBE-GGA) results for a relaxed TcAg2I crystal.

Unit cell a=8.084 b=8.084 c=6.335 alpha=50.36 beta=50.36 gamma=90.00
Last column: magnetic moment on the atom in μB.
Fractional positions:
I: 0.000 0.000 0.000  0.05
I: 0.750 0.250 0.500  0.05
Ag: 0.607 0.125 0.250  0.02
Ag: 0.143 0.625 0.250  0.01
Ag: 0.875 0.857 0.750  0.02
Ag: 0.375 0.393 0.750  0.02
Tc: 0.250 0.750 0.500  2.34
Tc: 0.500 0.500 0.000  2.36

Computed properties:
The value obtained for the formation energy without anion corrections is 0.903 eV per atom. The crystal system is tetragonal. The value obtained for the spin magnetization is 5.3 Bohr magnetons per cell.


DFT (PBE-GGA) results for a relaxed DyYHg5 crystal.

Unit cell a=4.602 b=4.602 c=8.701 alpha=90.00 beta=90.00 gamma=90.00
Fractional positions:
Y: 0.000 0.000 0.500
Hg: 0.000 0.500 0.237
Hg: 0.500 0.000 0.237
Hg: 0.000 0.500 0.763
Hg: 0.500 0.500 0.500
Hg: 0.500 0.000 0.763
Dy: 0.500 0.500 0.000

Computed properties:
The crystal system is tetragonal. The value obtained for the spin magnetization is 0.0 Bohr magnetons per cell. Its energy is -2.064 eV per atom.


DFT (PBE-GGA) results for a relaxed ScCoMo2 crystal.

Unit cell a=5.072 b=5.239 c=2.759 alpha=80.90 beta=77.46 gamma=115.27
Last column: magnetic moment on the atom in μB.
Fractional positions:
Sc: 0.000 0.500 0.500  -0.06
Mo: 0.000 0.000 0.000  0.01
Mo: 0.500 0.000 0.500  0.01
Co: 0.500 0.500 0.000  0.52

Computed properties:
The crystal system is monoclinic. The value obtained for the spin magnetization is 0.4 Bohr magnetons per cell. Its energy is -8.606 eV per atom.


DFT (PBE-GGA) results for a relaxed NbTlPb2 crystal.

Unit cell a=4.407 b=4.407 c=11.529 alpha=78.98 beta=78.98 gamma=90.00
Last column: magnetic moment on the atom in μB.
Fractional positions:
Pb: 0.617 0.125 0.250  0.01
Pb: 0.133 0.625 0.250  0.01
Pb: 0.375 0.383 0.750  0.01
Pb: 0.875 0.867 0.750  0.00
Nb: 0.500 0.500 0.000  0.97
Nb: 0.250 0.750 0.500  0.96
Tl: 0.000 0.000 0.000  0.00
Tl: 0.750 0.250 0.500  0.00

Computed properties:
The crystal system is tetragonal. The value obtained for the spin magnetization is 2.5 Bohr magnetons per cell. Its energy is -4.316 eV per atom.


- Which value of spin magnetization does entry 4 give?
  0.0 Bohr magnetons per cell


- Which formula does entry 6 have?
  NbTlPb2


- Look up the spin magnetization of the first one.
  6.3 Bohr magnetons per cell